No. 1
Below is Ba3Ac2PrSe6 after structural relaxation, with properties calculated at the PBE level. Values from VASP.

```
&SYSTEM
  ibrav = 0, nat = 12, ntyp = 4
/
ATOMIC_SPECIES
Ba 137.33 Ba.upf
Ac 227.00 Ac.upf
Pr 140.91 Pr.upf
Se 78.96 Se.upf
CELL_PARAMETERS angstrom
9.9593 -2.2573 0.0000
9.9593 2.2573 0.0000
-2.2938 0.0000 8.8509
ATOMIC_POSITIONS angstrom
Ba 0.0000 0.0000 0.0000
Ba 5.1158 0.0000 5.8901
Ba 12.5091 0.0000 2.9608
Ac 6.3014 0.0000 1.5221
Ac 11.3235 0.0000 7.3288
Pr -1.1469 0.0000 4.4255
Se 1.8435 0.0000 5.2105
Se 3.2404 0.0000 0.6525
Se 9.3075 0.0000 2.3570
Se 8.3174 0.0000 6.4940
Se 14.3845 0.0000 8.1984
Se 15.7813 0.0000 3.6404
```

Total magnetic moment = 0.0 μB per cell
Energy = -5.2487 eV per atom
Uncorrected formation energy = -1943 meV per atom

***

No. 2
Below is Ba3AcPr3Se8 after structural relaxation, with properties calculated at the PBE level. Values from VASP.

```
&SYSTEM
  ibrav = 0, nat = 15, ntyp = 4
/
ATOMIC_SPECIES
Ba 137.33 Ba.upf
Ac 227.00 Ac.upf
Pr 140.91 Pr.upf
Se 78.96 Se.upf
CELL_PARAMETERS angstrom
4.4031 2.5421 7.5613
-4.4031 2.5421 7.5613
0.0000 -5.0842 7.5613
ATOMIC_POSITIONS angstrom
Ba -2.2015 -1.2711 7.5613
Ba -2.2015 1.2710 15.1225
Ba 0.0000 2.5421 7.5613
Ac 0.0000 0.0000 11.3419
Pr -4.4030 0.0000 11.3419
Pr -2.2015 1.2710 3.7806
Pr 2.2015 1.2711 3.7806
Se -2.2546 -1.3017 13.0497
Se 0.0000 0.0000 5.4812
Se 0.0000 -2.6034 9.6341
Se -2.2546 1.3017 9.6341
Se 2.2546 -1.3017 13.0497
Se 0.0000 2.6034 13.0497
Se 0.0000 0.0000 17.2027
Se 2.2546 1.3017 9.6341
```

Total magnetic moment = 0.0 μB per cell
Energy = -5.4108 eV per atom
Uncorrected formation energy = -1938 meV per atom

***

No. 3
Below is BaAcPrSm after structural relaxation, with properties calculated at the PBE level. Values from VASP.

```
&SYSTEM
  ibrav = 0, nat = 4, ntyp = 4
/
ATOMIC_SPECIES
Ba 137.33 Ba.upf
Ac 227.00 Ac.upf
Pr 140.91 Pr.upf
Sm 150.36 Sm.upf
CELL_PARAMETERS angstrom
0.0000 4.3902 4.3902
4.3902 0.0000 4.3902
4.3902 4.3902 0.0000
ATOMIC_POSITIONS angstrom
Ba 0.0000 0.0000 0.0000
Ac 2.1951 2.1951 2.1951
Pr 4.3902 4.3902 4.3902
Sm 6.5853 6.5853 6.5853
```

Total magnetic moment = 1.5 μB per cell
Energy = -3.6410 eV per atom